1.
Material: Cs2NaH
Method: DFT, PBE-GGA
State: relaxed

Cell lengths 9.2938, 9.2938, 11.0411 Å; angles 90.00, 90.00, 90.00 degrees
Space group I-42d (No. 122)
Inequivalent atoms, fractional coordinates:
Cs1 0.1280 0.7500 0.1250 (multiplicity 8)
Na1 0.0000 0.0000 0.5000 (multiplicity 4)
H1 0.0000 0.0000 0.0000 (multiplicity 4)

Energy above the lowest structure with this stoichiometry = 0.000 eV per atom

2.
Material: CsNaH3
Method: DFT, PBE-GGA
State: relaxed

Cell lengths 4.6067, 4.6067, 4.6067 Å; angles 90.00, 90.00, 90.00 degrees
Space group Pm-3m (No. 221)
Inequivalent atoms, fractional coordinates:
Cs1 0.0000 0.0000 0.0000 (multiplicity 1)
Na1 0.5000 0.5000 0.5000 (multiplicity 1)
H1 0.0000 0.5000 0.5000 (multiplicity 3)

Energy above the lowest structure with this stoichiometry = 0.043 eV per atom

3.
Material: CsNaH
Method: DFT, PBE-GGA
State: relaxed

Cell lengths 4.4198, 6.9902, 7.3173 Å; angles 90.00, 90.41, 90.00 degrees
Space group P2_1/m (No. 11)
Inequivalent atoms, fractional coordinates:
Cs1 0.0037 0.2500 0.2136 (multiplicity 2)
Na1 0.4980 0.2500 0.7876 (multiplicity 2)
H1 0.5000 0.0000 0.0000 (multiplicity 2)

Energy above the lowest structure with this stoichiometry = 0.047 eV per atom

4.
Material: Cs2NaH4
Method: DFT, PBE-GGA
State: relaxed

Cell lengths 4.5932, 4.5932, 15.2908 Å; angles 90.00, 90.00, 90.00 degrees
Space group I4/mmm (No. 139)
Inequivalent atoms, fractional coordinates:
Cs1 0.0000 0.0000 0.1422 (multiplicity 4)
Na1 0.0000 0.0000 0.5000 (multiplicity 2)
H1 0.0000 0.0000 0.3455 (multiplicity 4)
H2 0.0000 0.5000 0.0000 (multiplicity 4)

5.
Material: CsNa2H3
Method: DFT, PBE-GGA
State: relaxed

Cell lengths 10.1176, 8.3891, 6.1176 Å; angles 90.00, 90.00, 90.00 degrees
Space group Cmcm (No. 63)
Inequivalent atoms, fractional coordinates:
Cs1 0.0000 0.1554 0.2500 (multiplicity 4)
Na1 0.1669 0.5000 0.0000 (multiplicity 8)
H1 0.0000 0.4825 0.7500 (multiplicity 4)
H2 0.2066 0.1239 0.7500 (multiplicity 8)

Energy above the lowest structure with this stoichiometry = 0.092 eV per atom

6.
Material: CsNaH2
Method: DFT, PBE-GGA
State: relaxed

Cell lengths 3.8527, 3.8527, 20.5226 Å; angles 90.00, 90.00, 120.00 degrees
Space group R3m (No. 160, hexagonal axes)
Inequivalent atoms, fractional coordinates:
Cs1 0.0000 0.0000 0.0000 (multiplicity 3)
Na1 0.0000 0.0000 0.1695 (multiplicity 3)
H1 0.0000 0.0000 0.5682 (multiplicity 3)
H2 0.0000 0.0000 0.7687 (multiplicity 3)

7.
Material: CsNa2H
Method: DFT, PBE-GGA
State: relaxed

Cell lengths 3.9034, 3.9034, 33.3332 Å; angles 90.00, 90.00, 120.00 degrees
Space group R-3m (No. 166, hexagonal axes)
Inequivalent atoms, fractional coordinates:
Cs1 0.0000 0.0000 0.0000 (multiplicity 3)
Na1 0.0000 0.0000 0.1239 (multiplicity 6)
H1 0.0000 0.0000 0.5000 (multiplicity 3)

Energy above the lowest structure with this stoichiometry = 0.000 eV per atom

8.
Material: CsNaH
Method: DFT, PBE-GGA
State: relaxed

Cell lengths 4.1352, 4.1352, 7.3961 Å; angles 90.00, 90.00, 120.00 degrees
Space group P3m1 (No. 156)
Inequivalent atoms, fractional coordinates:
Cs1 0.0000 0.0000 0.0000 (multiplicity 1)
Na1 0.3333 0.6667 0.4545 (multiplicity 1)
H1 0.6667 0.3333 0.2408 (multiplicity 1)

Energy above the lowest structure with this stoichiometry = 0.160 eV per atom

no.,raw total energy (eV/f.u.),M_tot (μB/f.u.)
1,-6.42,0.00
2,-11.00,1.00
3,-5.66,0.00
4,-15.62,1.01
5,-14.12,0.00
6,-9.18,0.00
7,-6.06,0.63
8,-5.32,0.00